Computed, not measured: crystalline MoS2 at its relaxed geometry at the PBE-GGA level of DFT.

Cell lengths 3.189, 3.189, 36.604 Å; angles 90.00, 90.00, 120.00 degrees
Element x y z (fractional)
1 Mo 0.333 0.667 0.093
2 S 0.667 0.333 0.051
3 S 0.667 0.333 0.136
4 S 0.333 0.667 0.949
5 S 0.333 0.667 0.242
6 Mo 0.667 0.333 0.285
7 S 0.333 0.667 0.864
8 Mo 0.667 0.333 0.907
9 S 0.667 0.333 0.672
10 S 0.667 0.333 0.758
11 Mo 0.333 0.667 0.715
12 S 0.333 0.667 0.328

Calculated total energy ... -21.71 eV per formula unit
Density of states at the Fermi level ... 0.0 states/eV/f.u.
Symmetry ... P-3m1, No. 164

=====

Computed, not measured: crystalline Cs2Cu2SnSe6 at its relaxed geometry at the PBE-GGA level of DFT.

Cell lengths 7.319, 7.318, 8.943 Å; angles 114.14, 90.00, 120.00 degrees
Element x y z (fractional)
1 Cs 0.723 0.447 0.170
2 Se 0.734 0.007 0.742
3 Cu 0.900 0.800 0.700
4 Se 0.266 0.531 0.258
5 Sn 0.500 0.000 0.500
6 Cu 0.100 0.200 0.300
7 Se 0.734 0.469 0.742
8 Se 0.266 0.993 0.258
9 Cs 0.277 0.553 0.830
10 Se 0.727 0.993 0.258
11 Se 0.273 0.007 0.742

Calculated total energy ... -38.99 eV per formula unit
Density of states at the Fermi level ... 5.7 states/eV/f.u.
Symmetry ... R-3m, No. 166

=====

Computed, not measured: crystalline CaTc2As at its relaxed geometry at the PBE-GGA level of DFT.

Cell lengths 4.219, 4.219, 5.901 Å; angles 69.05, 69.05, 60.00 degrees
Element x y z (fractional)
1 As 0.539 0.539 0.382
2 Ca 0.752 0.752 0.744
3 Tc 0.953 0.953 0.142
4 Tc 0.256 0.256 0.233

Formation energy from the elements ... -0.170 eV per atom
Density of states at the Fermi level ... 1.3 states/eV/f.u.
Symmetry ... R3m, No. 160

=====

Computed, not measured: crystalline CaNi2Ge at its relaxed geometry at the PBE-GGA level of DFT.

Cell lengths 4.605, 4.605, 8.517 Å; angles 74.31, 74.31, 90.00 degrees
Element x y z (fractional)
1 Ni 0.375 0.158 0.750
2 Ni 0.842 0.125 0.250
3 Ge 0.750 0.250 0.500
4 Ni 0.908 0.625 0.250
5 Ca 0.500 0.500 0.000
6 Ni 0.875 0.092 0.750
7 Ca 0.250 0.750 0.500
8 Ge 0.000 0.000 0.000

Formation energy from the elements ... -0.143 eV per atom
Density of states at the Fermi level ... 3.9 states/eV/f.u.
Symmetry ... I-42d, No. 122

=====

Computed, not measured: crystalline NbI2Cl8 at its relaxed geometry at the PBE-GGA level of DFT.

Cell lengths 6.889, 8.658, 8.722 Å; angles 81.69, 70.48, 60.89 degrees
Element x y z (fractional)
1 Cl 0.969 0.741 0.004
2 Cl 0.031 0.259 0.996
3 Cl 0.994 0.960 0.273
4 Cl 0.570 0.176 0.084
5 Cl 0.825 0.439 0.398
6 Cl 0.175 0.561 0.602
7 Cl 0.006 0.040 0.727
8 Nb 0.000 0.000 0.000
9 I 0.375 0.381 0.360
10 I 0.625 0.619 0.640
11 Cl 0.430 0.824 0.916

Calculated total energy ... -35.78 eV per formula unit
Density of states at the Fermi level ... 2.4 states/eV/f.u.
Symmetry ... P-1, No. 2